# Tb2HoThSc4 (PBE-GGA, optimized geometry)
# E_tot in eV per cell: -46.25
# Magnetization in Bohr magnetons per cell: 0.0
# Formation energy in eV per formula unit: 0.336
data_Tb2HoThSc4
_cell_length_a 4.9509
_cell_length_b 4.9509
_cell_length_c 9.1240
_cell_angle_alpha 90.00
_cell_angle_beta 90.00
_cell_angle_gamma 90.00
_space_group_name_H-M_alt 'P 4/m m m'
_space_group_IT_number 123
_space_group_name_Hall '-P 4 2'
loop_
_atom_site_label
_atom_site_type_symbol
_atom_site_fract_x
_atom_site_fract_y
_atom_site_fract_z
Tb1 Tb 0.0000 0.0000 0.0000
Tb2 Tb 0.5000 0.5000 0.5000
Ho1 Ho 0.0000 0.0000 0.5000
Th1 Th 0.5000 0.5000 0.0000
Sc1 Sc 0.0000 0.5000 0.2477


# Cs2CaReBr6 (PBE-GGA, optimized geometry)
# E_tot in eV per cell: -149.01
# Magnetization in Bohr magnetons per cell: 4.0
# ΔE_f (raw) in eV/atom: -1.106
data_Cs2CaReBr6
_cell_length_a 10.9676
_cell_length_b 10.9676
_cell_length_c 10.9676
_cell_angle_alpha 90.00
_cell_angle_beta 90.00
_cell_angle_gamma 90.00
_space_group_name_H-M_alt 'F m -3 m'
_space_group_IT_number 225
_space_group_name_Hall '-F 4 2 3'
loop_
_atom_site_label
_atom_site_type_symbol
_atom_site_fract_x
_atom_site_fract_y
_atom_site_fract_z
Cs1 Cs 0.2500 0.2500 0.2500
Ca1 Ca 0.0000 0.0000 0.0000
Re1 Re 0.0000 0.0000 0.5000
Br1 Br 0.0000 0.0000 0.2634


# LaSm4Pu3S8 (PBE-GGA, optimized geometry)
# E_tot in eV per cell: -393.41
# Magnetization in Bohr magnetons per cell: 50.9
# ΔE_f (raw) in eV/atom: -1.957
data_LaSm4Pu3S8
_cell_length_a 8.0077
_cell_length_b 8.0077
_cell_length_c 19.7068
_cell_angle_alpha 90.00
_cell_angle_beta 90.00
_cell_angle_gamma 120.00
_space_group_name_H-M_alt 'R -3 m'
_space_group_IT_number 166
_space_group_name_Hall '-R 3 2"'
loop_
_atom_site_label
_atom_site_type_symbol
_atom_site_fract_x
_atom_site_fract_y
_atom_site_fract_z
La1 La 0.0000 0.0000 0.0000
Sm1 Sm 0.0000 0.0000 0.5000
Sm2 Sm 0.0000 0.5000 0.5000
Pu1 Pu 0.0000 0.5000 0.0000
S1 S 0.0000 0.0000 0.2520
S2 S 0.0065 0.5033 0.2499


# Cs2PuI2Cl2 (PBE-GGA, optimized geometry)
# E_tot in eV per cell: -68.58
# Magnetization in Bohr magnetons per cell: 12.0
# ΔE_f (raw) in eV/atom: -1.636
data_Cs2PuI2Cl2
_cell_length_a 5.6300
_cell_length_b 5.6300
_cell_length_c 19.5907
_cell_angle_alpha 90.00
_cell_angle_beta 90.00
_cell_angle_gamma 90.00
_space_group_name_H-M_alt 'I 4/m m m'
_space_group_IT_number 139
_space_group_name_Hall '-I 4 2'
loop_
_atom_site_label
_atom_site_type_symbol
_atom_site_fract_x
_atom_site_fract_y
_atom_site_fract_z
Cs1 Cs 0.0000 0.0000 0.1341
Pu1 Pu 0.0000 0.0000 0.5000
I1 I 0.0000 0.0000 0.3353
Cl1 Cl 0.0000 0.5000 0.0000


# KLaZr2 (PBE-GGA, optimized geometry)
# E_tot in eV per cell: -20.41
# Magnetization in Bohr magnetons per cell: 0.0
# Formation energy in eV per formula unit: 2.706
data_KLaZr2
_cell_length_a 3.3554
_cell_length_b 5.0216
_cell_length_c 8.0806
_cell_angle_alpha 90.00
_cell_angle_beta 90.00
_cell_angle_gamma 90.00
_space_group_name_H-M_alt 'P m m m'
_space_group_IT_number 47
loop_
_space_group_symop_operation_xyz
'x,y,z'
'-x,-y,-z'
'-x,-y,z'
'x,y,-z'
'x,-y,-z'
'-x,y,z'
'-x,y,-z'
'x,-y,z'
loop_
_atom_site_label
_atom_site_type_symbol
_atom_site_fract_x
_atom_site_fract_y
_atom_site_fract_z
K1 K 0.0000 0.0000 0.0000
La1 La 0.0000 0.0000 0.5000
Zr1 Zr 0.5000 0.5000 0.3194


# RbLiTe2I (PBE-GGA, optimized geometry)
# E_tot in eV per cell: -9.53
# Magnetization in Bohr magnetons per cell: 3.0
# ΔE_f (raw) in eV/atom: 0.237
data_RbLiTe2I
_cell_length_a 6.7320
_cell_length_b 6.7320
_cell_length_c 6.7906
_cell_angle_alpha 90.00
_cell_angle_beta 90.00
_cell_angle_gamma 90.00
_space_group_name_H-M_alt 'P 4/m m m'
_space_group_IT_number 123
_space_group_name_Hall '-P 4 2'
loop_
_atom_site_label
_atom_site_type_symbol
_atom_site_fract_x
_atom_site_fract_y
_atom_site_fract_z
Rb1 Rb 0.0000 0.0000 0.0000
Li1 Li 0.5000 0.5000 0.5000
Te1 Te 0.0000 0.5000 0.0000
I1 I 0.0000 0.0000 0.5000


D(E_F) (states/eV per atom)
1.4554 0.9122 1.6038 2.4857 1.6514 1.3155